(1)
Compound: NpZnGaAu
Source: Alexandria via LeMat-Bulk
Functional: PBE
Structure: optimized geometry

The calculation puts the density of states at the Fermi level at 43.7 states/eV per cell. The calculation puts the theoretical density at 12.18 g cm⁻³. As for the formation energy: -0.1 eV/f.u. The total energy is -5.16 eV per atom.

The structure belongs to space group F-43m (No. 216); the cell edges are 6.770, 6.770 and 6.770 Å and the angles 90.00°, 90.00° and 90.00°. The distinct sites, in fractional coordinates, are Np at (0.000, 0.000, 0.000), Zn at (0.250, 0.250, 0.250), Ga at (0.250, 0.250, 0.750) and Au at (0.000, 0.000, 0.500).



(2)
Compound: GaAu3O
Source: Alexandria via LeMat-Bulk
Functional: PBE
Structure: optimized geometry

The value obtained for the uncorrected formation energy is 93.04 kJ/mol of atoms. The calculation puts the density of states at the Fermi level at 4.7 states/eV per cell. The calculation puts the theoretical density at 9.92 g cm⁻³. The total energy is -2.60 eV per atom.

The structure belongs to space group Pm-3m (No. 221); the cell edges are 4.838, 4.838 and 4.838 Å and the angles 90.00°, 90.00° and 90.00°. The distinct sites, in fractional coordinates, are Ga at (0.000, 0.000, 0.000), Au at (0.000, 0.000, 0.500) and O at (0.500, 0.500, 0.500).